Density functional theory data (GGA-PBE) for an optimized crystal structure of AcTbZn3.

- ΔE_f (meV/atom) = -286.4
- energy (eV/atom) = -2.798

Lattice parameters (Å, degrees): 3.8107 4.6491 13.9971 90.00 97.82 90.00
Fractional positions:
Ac (0.0760, 0.2500, 0.1520)
Ac (0.9240, 0.7500, 0.8480)
Zn (0.5237, 0.7500, 0.0475)
Zn (0.6249, 0.7500, 0.2498)
Tb (0.2102, 0.7500, 0.4204)
Zn (0.3751, 0.2500, 0.7502)
Tb (0.7898, 0.2500, 0.5796)
Zn (0.4763, 0.2500, 0.9525)
Zn (0.6791, 0.2500, 0.3581)
Zn (0.3209, 0.7500, 0.6419)